i | DFT (PBE) results for BiBAsSe2 after structural relaxation.

```
data_BiBAsSe2
_chemical_formula_sum 'Bi1 B1 As1 Se2'
_cell_length_a 4.608
_cell_length_b 4.608
_cell_length_c 4.579
_cell_angle_alpha 90.00
_cell_angle_beta 90.00
_cell_angle_gamma 90.00
_space_group_name_H-M_alt 'P 1'
_space_group_IT_number 1
_space_group_name_Hall 'P 1'
loop_
_atom_site_label
_atom_site_fract_x
_atom_site_fract_y
_atom_site_fract_z
_atom_site_occupancy
Bi1 0.000 0.000 0.000 1
B1 0.500 0.500 0.500 1
As1 0.500 0.500 0.000 1
Se1 0.000 0.500 0.500 1
Se2 0.500 0.000 0.500 1
```

ii | DFT (PBE) results for BiBAsSe2 after structural relaxation.

```
data_BiBAsSe2
_chemical_formula_sum 'Bi1 B1 As1 Se2'
_cell_length_a 5.562
_cell_length_b 5.562
_cell_length_c 5.502
_cell_angle_alpha 90.00
_cell_angle_beta 90.00
_cell_angle_gamma 90.00
_space_group_name_H-M_alt 'P 1'
_space_group_IT_number 1
_space_group_name_Hall 'P 1'
loop_
_atom_site_label
_atom_site_fract_x
_atom_site_fract_y
_atom_site_fract_z
_atom_site_occupancy
Bi1 0.000 0.000 0.000 1
B1 0.500 0.500 0.500 1
As1 0.000 0.000 0.500 1
Se1 0.000 0.500 0.000 1
Se2 0.500 0.000 0.000 1
```

The most stable arrangement is i, and the next structure is 1.074 eV/atom less stable.

i | DFT (PBE) results for BAs2Br after structural relaxation.

```
data_BAs2Br
_chemical_formula_sum 'B4 As8 Br4'
_cell_length_a 6.572
_cell_length_b 6.572
_cell_length_c 6.572
_cell_angle_alpha 90.00
_cell_angle_beta 90.00
_cell_angle_gamma 90.00
_space_group_name_H-M_alt 'P 1'
_space_group_IT_number 1
_space_group_name_Hall 'P 1'
loop_
_atom_site_label
_atom_site_fract_x
_atom_site_fract_y
_atom_site_fract_z
_atom_site_occupancy
B1 0.000 0.000 0.000 1
B2 0.000 0.500 0.500 1
B3 0.500 0.000 0.500 1
B4 0.500 0.500 0.000 1
As1 0.250 0.250 0.250 1
As2 0.250 0.250 0.750 1
As3 0.250 0.750 0.250 1
As4 0.250 0.750 0.750 1
As5 0.750 0.250 0.250 1
As6 0.750 0.250 0.750 1
As7 0.750 0.750 0.250 1
As8 0.750 0.750 0.750 1
Br1 0.000 0.000 0.500 1
Br2 0.000 0.500 0.000 1
Br3 0.500 0.000 0.000 1
Br4 0.500 0.500 0.500 1
```

ii | DFT (PBE) results for BAs2Br after structural relaxation.

```
data_BAs2Br
_chemical_formula_sum 'B4 As8 Br4'
_cell_length_a 6.154
_cell_length_b 6.154
_cell_length_c 8.933
_cell_angle_alpha 90.00
_cell_angle_beta 90.00
_cell_angle_gamma 90.00
_space_group_name_H-M_alt 'P 1'
_space_group_IT_number 1
_space_group_name_Hall 'P 1'
loop_
_atom_site_label
_atom_site_fract_x
_atom_site_fract_y
_atom_site_fract_z
_atom_site_occupancy
B1 0.000 0.000 0.000 1
B2 0.000 0.500 0.250 1
B3 0.500 0.000 0.750 1
B4 0.500 0.500 0.500 1
As1 0.145 0.250 0.125 1
As2 0.250 0.645 0.375 1
As3 0.250 0.855 0.875 1
As4 0.355 0.250 0.625 1
As5 0.645 0.750 0.625 1
As6 0.750 0.145 0.875 1
As7 0.750 0.355 0.375 1
As8 0.855 0.750 0.125 1
Br1 0.000 0.000 0.500 1
Br2 0.000 0.500 0.750 1
Br3 0.500 0.000 0.250 1
Br4 0.500 0.500 0.000 1
```

The most stable arrangement is ii, and the next structure is 0.847 eV/atom less stable.

i | DFT (PBE) results for CdBAs2Br after structural relaxation.

```
data_CdBAs2Br
_chemical_formula_sum 'Cd1 B1 As2 Br1'
_cell_length_a 5.158
_cell_length_b 5.158
_cell_length_c 5.681
_cell_angle_alpha 90.00
_cell_angle_beta 90.00
_cell_angle_gamma 90.00
_space_group_name_H-M_alt 'P 1'
_space_group_IT_number 1
_space_group_name_Hall 'P 1'
loop_
_atom_site_label
_atom_site_fract_x
_atom_site_fract_y
_atom_site_fract_z
_atom_site_occupancy
Cd1 0.000 0.000 0.000 1
B1 0.500 0.500 0.500 1
As1 0.000 0.500 0.000 1
As2 0.500 0.000 0.000 1
Br1 0.000 0.000 0.500 1
```

ii | DFT (PBE) results for CdBAs2Br after structural relaxation.

```
data_CdBAs2Br
_chemical_formula_sum 'Cd1 B1 As2 Br1'
_cell_length_a 4.184
_cell_length_b 4.184
_cell_length_c 7.516
_cell_angle_alpha 90.00
_cell_angle_beta 90.00
_cell_angle_gamma 90.00
_space_group_name_H-M_alt 'P 1'
_space_group_IT_number 1
_space_group_name_Hall 'P 1'
loop_
_atom_site_label
_atom_site_fract_x
_atom_site_fract_y
_atom_site_fract_z
_atom_site_occupancy
Cd1 0.000 0.000 0.000 1
B1 0.500 0.500 0.500 1
As1 0.000 0.500 0.500 1
As2 0.500 0.000 0.500 1
Br1 0.500 0.500 0.000 1
```

The most stable arrangement is ii, and the next structure is 0.912 eV/atom less stable.

i | DFT (PBE) results for BAs2BrCl after structural relaxation.

```
data_BAs2BrCl
_chemical_formula_sum 'B1 As2 Br1 Cl1'
_cell_length_a 4.711
_cell_length_b 4.711
_cell_length_c 6.856
_cell_angle_alpha 90.00
_cell_angle_beta 90.00
_cell_angle_gamma 90.00
_space_group_name_H-M_alt 'P 1'
_space_group_IT_number 1
_space_group_name_Hall 'P 1'
loop_
_atom_site_label
_atom_site_fract_x
_atom_site_fract_y
_atom_site_fract_z
_atom_site_occupancy
B1 0.000 0.000 0.000 1
As1 0.000 0.500 0.500 1
As2 0.500 0.000 0.500 1
Br1 0.500 0.500 0.000 1
Cl1 0.500 0.500 0.500 1
```

ii | DFT (PBE) results for BAs2BrCl after structural relaxation.

```
data_BAs2BrCl
_chemical_formula_sum 'B1 As2 Br1 Cl1'
_cell_length_a 4.546
_cell_length_b 4.546
_cell_length_c 4.685
_cell_angle_alpha 90.00
_cell_angle_beta 90.00
_cell_angle_gamma 90.00
_space_group_name_H-M_alt 'P 1'
_space_group_IT_number 1
_space_group_name_Hall 'P 1'
loop_
_atom_site_label
_atom_site_fract_x
_atom_site_fract_y
_atom_site_fract_z
_atom_site_occupancy
B1 0.000 0.000 0.000 1
As1 0.000 0.500 0.000 1
As2 0.500 0.000 0.000 1
Br1 0.000 0.000 0.500 1
Cl1 0.500 0.500 0.500 1
```

The most stable arrangement is ii, and the next structure is 0.907 eV/atom less stable.

i | DFT (PBE) results for CrBAs2Br after structural relaxation.

```
data_CrBAs2Br
_chemical_formula_sum 'Cr1 B1 As2 Br1'
_cell_length_a 4.584
_cell_length_b 4.584
_cell_length_c 5.414
_cell_angle_alpha 90.00
_cell_angle_beta 90.00
_cell_angle_gamma 90.00
_space_group_name_H-M_alt 'P 1'
_space_group_IT_number 1
_space_group_name_Hall 'P 1'
loop_
_atom_site_label
_atom_site_fract_x
_atom_site_fract_y
_atom_site_fract_z
_atom_site_occupancy
Cr1 0.000 0.000 0.000 1
B1 0.500 0.500 0.500 1
As1 0.000 0.500 0.000 1
As2 0.500 0.000 0.000 1
Br1 0.000 0.000 0.500 1
```

ii | DFT (PBE) results for CrBAs2Br after structural relaxation.

```
data_CrBAs2Br
_chemical_formula_sum 'Cr1 B1 As2 Br1'
_cell_length_a 4.089
_cell_length_b 4.089
_cell_length_c 6.965
_cell_angle_alpha 90.00
_cell_angle_beta 90.00
_cell_angle_gamma 90.00
_space_group_name_H-M_alt 'P 1'
_space_group_IT_number 1
_space_group_name_Hall 'P 1'
loop_
_atom_site_label
_atom_site_fract_x
_atom_site_fract_y
_atom_site_fract_z
_atom_site_occupancy
Cr1 0.000 0.000 0.000 1
B1 0.500 0.500 0.500 1
As1 0.000 0.500 0.500 1
As2 0.500 0.000 0.500 1
Br1 0.500 0.500 0.000 1
```

The most stable arrangement is ii, and the next structure is 0.266 eV/atom less stable.

i | DFT (PBE) results for FeBAs2Br after structural relaxation.

```
data_FeBAs2Br
_chemical_formula_sum 'Fe1 B1 As2 Br1'
_cell_length_a 4.421
_cell_length_b 4.421
_cell_length_c 5.398
_cell_angle_alpha 90.00
_cell_angle_beta 90.00
_cell_angle_gamma 90.00
_space_group_name_H-M_alt 'P 1'
_space_group_IT_number 1
_space_group_name_Hall 'P 1'
loop_
_atom_site_label
_atom_site_fract_x
_atom_site_fract_y
_atom_site_fract_z
_atom_site_occupancy
Fe1 0.000 0.000 0.000 1
B1 0.500 0.500 0.500 1
As1 0.000 0.500 0.000 1
As2 0.500 0.000 0.000 1
Br1 0.000 0.000 0.500 1
```

ii | DFT (PBE) results for FeBAs2Br after structural relaxation.

```
data_FeBAs2Br
_chemical_formula_sum 'Fe1 B1 As2 Br1'
_cell_length_a 4.353
_cell_length_b 4.353
_cell_length_c 4.745
_cell_angle_alpha 90.00
_cell_angle_beta 90.00
_cell_angle_gamma 90.00
_space_group_name_H-M_alt 'P 1'
_space_group_IT_number 1
_space_group_name_Hall 'P 1'
loop_
_atom_site_label
_atom_site_fract_x
_atom_site_fract_y
_atom_site_fract_z
_atom_site_occupancy
Fe1 0.000 0.000 0.000 1
B1 0.500 0.500 0.500 1
As1 0.000 0.500 0.500 1
As2 0.500 0.000 0.500 1
Br1 0.500 0.500 0.000 1
```

The most stable arrangement is ii, and the next structure is 0.065 eV/atom less stable.

i | DFT (PBE) results for FeBAsBr2 after structural relaxation.

```
data_FeBAsBr2
_chemical_formula_sum 'Fe1 B1 As1 Br2'
_cell_length_a 4.593
_cell_length_b 4.593
_cell_length_c 4.615
_cell_angle_alpha 90.00
_cell_angle_beta 90.00
_cell_angle_gamma 90.00
_space_group_name_H-M_alt 'P 1'
_space_group_IT_number 1
_space_group_name_Hall 'P 1'
loop_
_atom_site_label
_atom_site_fract_x
_atom_site_fract_y
_atom_site_fract_z
_atom_site_occupancy
Fe1 0.000 0.000 0.000 1
B1 0.500 0.500 0.500 1
As1 0.500 0.500 0.000 1
Br1 0.000 0.500 0.500 1
Br2 0.500 0.000 0.500 1
```

ii | DFT (PBE) results for FeBAsBr2 after structural relaxation.

```
data_FeBAsBr2
_chemical_formula_sum 'Fe1 B1 As1 Br2'
_cell_length_a 5.139
_cell_length_b 5.139
_cell_length_c 4.527
_cell_angle_alpha 90.00
_cell_angle_beta 90.00
_cell_angle_gamma 90.00
_space_group_name_H-M_alt 'P 1'
_space_group_IT_number 1
_space_group_name_Hall 'P 1'
loop_
_atom_site_label
_atom_site_fract_x
_atom_site_fract_y
_atom_site_fract_z
_atom_site_occupancy
Fe1 0.000 0.000 0.000 1
B1 0.500 0.500 0.500 1
As1 0.000 0.000 0.500 1
Br1 0.000 0.500 0.000 1
Br2 0.500 0.000 0.000 1
```

The most stable arrangement is i, and the next structure is 0.043 eV/atom less stable.